# LiMnAu2

A relaxed structure of LiMnAu2 (GGA-PBEsol, Alexandria).

Lattice parameters (Å, degrees): 2.810 4.594 4.672 90.00 90.00 90.00
Sites, in units of the cell vectors:
1 Li 0.000 0.000 0.000
2 Mn 0.000 0.500 0.595
3 Au 0.500 0.000 0.501
4 Au 0.500 0.500 0.091

Summary:
Calculated total energy: -5.1029 eV/atom
Density: 12.55 g cm⁻³
ΔH_f (0 K): -20 kJ per mole of atoms

# LiMnPAu2

A relaxed structure of LiMnPAu2 (GGA-PBEsol, Alexandria).

Lattice parameters (Å, degrees): 4.292 4.292 4.442 90.00 90.00 90.00
Sites, in units of the cell vectors:
1 Li 0.000 0.000 0.000
2 Mn 0.000 0.000 0.500
3 P 0.500 0.500 0.500
4 Au 0.000 0.500 0.000
5 Au 0.500 0.000 0.000

Summary:
Calculated total energy: -4.3000 eV/atom
Density: 9.88 g cm⁻³
ΔH_f (0 K): 75 kJ per mole of atoms

# LiMn2RhAu

A relaxed structure of LiMn2RhAu (GGA-PBEsol, Alexandria).

Lattice parameters (Å, degrees): 4.183 4.183 4.127 90.00 90.00 90.00
Sites, in units of the cell vectors:
1 Li 0.000 0.000 0.000
2 Mn 0.000 0.500 0.000
3 Mn 0.500 0.000 0.000
4 Rh 0.500 0.500 0.500
5 Au 0.000 0.000 0.500

Summary:
Calculated total energy: -5.8159 eV/atom
Density: 9.58 g cm⁻³
ΔH_f (0 K): 86 kJ per mole of atoms

# LiMoAu2

A relaxed structure of LiMoAu2 (GGA-PBEsol, Alexandria).

Lattice parameters (Å, degrees): 4.423 4.423 4.423 60.00 60.00 60.00
Sites, in units of the cell vectors:
1 Li 0.000 0.000 0.000
2 Mo 0.250 0.250 0.250
3 Au 0.500 0.500 0.500
4 Au 0.750 0.750 0.750

Summary:
Calculated total energy: -5.1139 eV/atom
Density: 13.48 g cm⁻³
ΔH_f (0 K): 27 kJ per mole of atoms

# LiMo2Au

A relaxed structure of LiMo2Au (GGA-PBEsol, Alexandria).

Lattice parameters (Å, degrees): 5.164 5.164 5.164 142.47 135.63 59.48
Sites, in units of the cell vectors:
1 Li 0.000 0.000 0.000
2 Mo 0.247 0.747 0.500
3 Mo 0.753 0.253 0.500
4 Au 0.500 0.500 0.000

Summary:
Calculated total energy: -7.2329 eV/atom
Density: 11.31 g cm⁻³
ΔH_f (0 K): 12 kJ per mole of atoms

# LiMo2Au

A relaxed structure of LiMo2Au (GGA-PBEsol, Alexandria).

Lattice parameters (Å, degrees): 2.617 4.637 5.066 90.00 104.01 90.00
Sites, in units of the cell vectors:
1 Li 0.000 0.000 0.000
2 Mo 0.489 0.500 0.239
3 Mo 0.511 0.500 0.761
4 Au 0.000 0.000 0.500

Summary:
Calculated total energy: -7.1420 eV/atom
Density: 11.02 g cm⁻³
ΔH_f (0 K): 21 kJ per mole of atoms

# Li3MoAu

A relaxed structure of Li3MoAu (GGA-PBEsol, Alexandria).

Lattice parameters (Å, degrees): 4.677 4.677 4.677 90.00 90.00 90.00
Sites, in units of the cell vectors:
1 Li 0.000 0.000 0.500
2 Li 0.000 0.500 0.000
3 Li 0.500 0.000 0.000
4 Mo 0.500 0.500 0.500
5 Au 0.000 0.000 0.000

Summary:
Calculated total energy: -3.4583 eV/atom
Density: 5.09 g cm⁻³
ΔH_f (0 K): 83 kJ per mole of atoms

# LiMo4Au

A relaxed structure of LiMo4Au (GGA-PBEsol, Alexandria).

Lattice parameters (Å, degrees): 5.165 5.165 5.165 60.00 60.00 60.00
Sites, in units of the cell vectors:
1 Li 0.000 0.000 0.000
2 Mo 0.119 0.627 0.627
3 Mo 0.627 0.119 0.627
4 Mo 0.627 0.627 0.119
5 Mo 0.627 0.627 0.627
6 Au 0.250 0.250 0.250

Summary:
Calculated total energy: -8.3279 eV/atom
Density: 10.02 g cm⁻³
ΔH_f (0 K): 48 kJ per mole of atoms